# 1
VASP calculation (GGA-PBEsol) on BaNa2TiI after structural relaxation.

Properties
- M_tot (μB/f.u.) = 4.9
- mass density (g/cm³) = 2.8
- raw total energy (eV per atom) = -2.535
- formation energy from raw total energies (eV per atom) = 0.4726

The structure in POSCAR format:
```
BaNa2TiI
1.0
-3.631 -0.688 4.417
-2.445 -4.458 -2.705
4.189 -4.008 2.819
I Na Ba Ti
1 2 1 1
direct
0.500 0.500 0.500 I
0.000 0.500 0.000 Na
0.500 0.000 0.000 Na
0.000 0.000 0.500 Ba
0.000 0.000 0.000 Ti
```

---

# 2
VASP calculation (GGA-PBEsol) on Ti3VS4 after structural relaxation.

Properties
- M_tot (μB/f.u.) = 0.0
- mass density (g/cm³) = 4.8
- raw total energy (eV per atom) = -7.948
- formation energy from raw total energies (eV per atom) = -1.4309

The structure in POSCAR format:
```
Ti3VS4
1.0
3.193 0.000 0.000
0.000 5.515 -0.001
0.000 -0.002 6.306
S V Ti
4 1 3
direct
0.500 0.163 0.254 S
0.000 0.670 0.253 S
0.000 0.330 0.747 S
0.500 0.837 0.746 S
0.000 0.000 0.500 V
0.500 0.500 0.500 Ti
0.000 0.000 0.000 Ti
0.500 0.500 0.000 Ti
```

---

# 3
VASP calculation (GGA-PBEsol) on Mg2CuRh after structural relaxation.

Properties
- M_tot (μB/f.u.) = 0.0
- mass density (g/cm³) = 6.1
- energy of formation from the pure elements (eV/atom) = -0.274
- raw total energy (eV per atom) = -4.250

The structure in POSCAR format:
```
Mg2CuRh
1.0
3.147 0.000 0.000
0.000 4.322 0.000
0.000 0.000 4.322
Mg Rh Cu
2 1 1
direct
0.000 0.000 0.500 Mg
0.000 0.500 0.000 Mg
0.500 0.500 0.500 Rh
0.500 0.000 0.000 Cu
```

---

# 4
VASP calculation (GGA-PBEsol) on Li2MnP2O7 after structural relaxation.

Properties
- M_tot (μB/f.u.) = 5.0
- mass density (g/cm³) = 2.7
- raw total energy (eV per atom) = -7.272
- formation energy from raw total energies (eV per atom) = -2.1030

The structure in POSCAR format:
```
Li2MnP2O7
1.0
-1.049 -4.570 -1.673
-1.713 -2.231 7.169
-7.331 2.086 -1.103
Li Mn P O
4 2 4 14
direct
0.545 0.779 0.721 Li
0.455 0.279 0.779 Li
0.455 0.721 0.221 Li
0.545 0.221 0.279 Li
0.000 0.500 0.500 Mn
0.000 0.000 0.000 Mn
0.890 0.142 0.642 P
0.110 0.642 0.858 P
0.110 0.358 0.142 P
0.890 0.858 0.358 P
0.799 0.000 0.500 O
0.201 0.500 0.000 O
0.189 0.155 0.655 O
0.811 0.655 0.845 O
0.811 0.345 0.155 O
0.189 0.845 0.345 O
0.746 0.308 0.580 O
0.254 0.580 0.692 O
0.746 0.080 0.808 O
0.254 0.808 0.920 O
0.254 0.192 0.080 O
0.746 0.920 0.192 O
0.254 0.420 0.308 O
0.746 0.692 0.420 O
```

---

# 5
VASP calculation (GGA-PBEsol) on Cd2SbAu after structural relaxation.

Properties
- M_tot (μB/f.u.) = 0.0
- mass density (g/cm³) = 10.8
- raw total energy (eV per atom) = -2.690
- formation energy from raw total energies (eV per atom) = 0.0288

The structure in POSCAR format:
```
Cd2SbAu
1.0
4.378 0.000 0.000
0.000 4.378 0.000
-2.189 -2.189 4.380
Sb Au Cd
1 1 2
direct
0.500 0.500 0.000 Sb
0.000 0.000 0.000 Au
0.750 0.250 0.500 Cd
0.250 0.750 0.500 Cd
```

---

# 6
VASP calculation (GGA-PBEsol) on SmAu after structural relaxation.

Properties
- M_tot (μB/f.u.) = 0.0
- mass density (g/cm³) = 12.3
- energy of formation from the pure elements (eV/atom) = -0.790
- raw total energy (eV per atom) = -5.298

The structure in POSCAR format:
```
SmAu
1.0
-0.867 3.499 0.175
-2.127 -0.382 -2.891
-2.784 -0.797 2.153
Au Sm
1 1
direct
0.500 0.500 0.500 Au
0.000 0.000 0.000 Sm
```

---

# 7
VASP calculation (GGA-PBEsol) on Na2SrLi2 after structural relaxation.

Properties
- M_tot (μB/f.u.) = 0.0
- mass density (g/cm³) = 1.5
- energy of formation from the pure elements (eV/atom) = 0.096
- raw total energy (eV per atom) = -1.619

The structure in POSCAR format:
```
Na2SrLi2
1.0
5.335 0.000 0.000
0.000 5.335 0.000
-2.667 -2.667 5.896
Sr Na Li
1 2 2
direct
0.000 0.000 0.000 Sr
0.370 0.370 0.740 Na
0.630 0.630 0.260 Na
0.250 0.750 0.500 Li
0.750 0.250 0.500 Li
```

---

# 8
VASP calculation (GGA-PBEsol) on CdAgAu4 after structural relaxation.

Properties
- M_tot (μB/f.u.) = 0.0
- mass density (g/cm³) = 15.0
- energy of formation from the pure elements (eV/atom) = 0.001
- raw total energy (eV per atom) = -3.367

The structure in POSCAR format:
```
CdAgAu4
1.0
5.406 0.000 0.000
2.703 4.682 0.000
2.703 1.561 4.414
Au Ag Cd
4 1 1
direct
0.375 0.375 0.375 Au
0.375 0.375 0.875 Au
0.875 0.375 0.375 Au
0.375 0.875 0.375 Au
0.000 0.000 0.000 Ag
0.750 0.750 0.750 Cd
```

---

# 9
VASP calculation (GGA-PBEsol) on TiCoGe after structural relaxation.

Properties
- M_tot (μB/f.u.) = 0.0
- mass density (g/cm³) = 7.5
- energy of formation from the pure elements (eV/atom) = -0.664
- raw total energy (eV per atom) = -7.663

The structure in POSCAR format:
```
TiCoGe
1.0
-0.948 -1.430 -3.302
5.525 1.333 -2.163
-1.019 -5.390 2.626
Ti Co Ge
3 3 3
direct
0.500 0.432 0.432 Ti
0.500 0.568 0.000 Ti
0.500 0.000 0.568 Ti
0.000 0.759 0.759 Co
0.000 0.241 0.000 Co
0.000 0.000 0.241 Co
0.000 0.667 0.333 Ge
0.000 0.333 0.667 Ge
0.500 0.000 0.000 Ge
```

---

# 10
VASP calculation (GGA-PBEsol) on LaPOsS2 after structural relaxation.

Properties
- M_tot (μB/f.u.) = 0.0
- mass density (g/cm³) = 7.0
- raw total energy (eV per atom) = -6.982
- formation energy from raw total energies (eV per atom) = -0.5578

The structure in POSCAR format:
```
LaPOsS2
1.0
4.371 0.000 0.000
0.000 4.803 0.000
0.000 0.000 4.803
P S Os La
1 2 1 1
direct
0.500 0.000 0.000 P
0.000 0.000 0.500 S
0.000 0.500 0.000 S
0.000 0.000 0.000 Os
0.500 0.500 0.500 La
```

---

# 11
VASP calculation (GGA-PBEsol) on Be2CrTc after structural relaxation.

Properties
- M_tot (μB/f.u.) = 0.0
- mass density (g/cm³) = 6.5
- energy of formation from the pure elements (eV/atom) = 0.116
- raw total energy (eV per atom) = -7.262

The structure in POSCAR format:
```
Be2CrTc
1.0
-1.829 1.631 0.061
-0.076 -0.786 -2.321
-4.629 -5.264 1.933
Cr Tc Be
1 1 2
direct
0.500 0.500 0.500 Cr
0.500 0.500 0.000 Tc
0.000 0.000 0.258 Be
0.000 0.000 0.742 Be
```

---

# 12
VASP calculation (GGA-PBEsol) on Zn2AsSe after structural relaxation.

Properties
- M_tot (μB/f.u.) = 0.0
- mass density (g/cm³) = 6.7
- raw total energy (eV per atom) = -2.737
- formation energy from raw total energies (eV per atom) = 0.2926

The structure in POSCAR format:
```
Zn2AsSe
1.0
4.633 0.000 0.000
2.316 4.012 0.000
2.316 1.337 3.783
As Se Zn
1 1 2
direct
0.500 0.500 0.500 As
0.750 0.750 0.750 Se
0.000 0.000 0.000 Zn
0.250 0.250 0.250 Zn
```

---

# 13
VASP calculation (GGA-PBEsol) on MnSiP3 after structural relaxation.

Properties
- M_tot (μB/f.u.) = 0.0
- mass density (g/cm³) = 3.7
- raw total energy (eV per atom) = -5.976
- formation energy from raw total energies (eV per atom) = 0.6005

The structure in POSCAR format:
```
MnSiP3
1.0
-0.547 1.769 3.891
-2.050 -3.551 1.326
3.751 -1.683 1.292
P Si Mn
3 1 1
direct
0.000 0.500 0.000 P
0.000 0.000 0.500 P
0.500 0.000 0.000 P
0.500 0.500 0.500 Si
0.000 0.000 0.000 Mn
```

---

# 14
VASP calculation (GGA-PBEsol) on CrRu2 after structural relaxation.

Properties
- M_tot (μB/f.u.) = 0.0
- mass density (g/cm³) = 11.1
- energy of formation from the pure elements (eV/atom) = 0.045
- raw total energy (eV per atom) = -10.151

The structure in POSCAR format:
```
CrRu2
1.0
2.650 0.000 0.000
-1.325 4.767 0.004
0.000 -1.527 6.014
Cr Ru
2 4
direct
0.033 0.066 0.803 Cr
0.967 0.934 0.197 Cr
0.638 0.275 0.529 Ru
0.312 0.624 0.867 Ru
0.688 0.376 0.133 Ru
0.362 0.725 0.471 Ru
```

---

# 15
VASP calculation (GGA-PBEsol) on CuSN2O after structural relaxation.

Properties
- M_tot (μB/f.u.) = 2.4
- mass density (g/cm³) = 4.5
- raw total energy (eV per atom) = -4.138
- formation energy from raw total energies (eV per atom) = 2.0661

The structure in POSCAR format:
```
CuSN2O
1.0
-1.886 -3.190 -0.550
3.237 -1.864 -0.287
-0.029 -0.611 3.642
S O Cu N
1 1 1 2
direct
0.000 0.000 0.500 S
0.000 0.000 0.000 O
0.500 0.500 0.500 Cu
0.000 0.500 0.000 N
0.500 0.000 0.000 N
```

---

# 16
VASP calculation (GGA-PBEsol) on CrTcN2 after structural relaxation.

Properties
- M_tot (μB/f.u.) = 0.5
- mass density (g/cm³) = 8.9
- raw total energy (eV per atom) = -9.395
- formation energy from raw total energies (eV per atom) = 0.2456

The structure in POSCAR format:
```
CrTcN2
1.0
3.613 0.000 0.000
1.807 3.129 0.000
1.807 1.043 2.950
Cr Tc N
1 1 2
direct
0.000 0.000 0.000 Cr
0.500 0.500 0.500 Tc
0.250 0.250 0.250 N
0.750 0.750 0.750 N
```

---

# 17
VASP calculation (GGA-PBEsol) on LiCoNiO4 after structural relaxation.

Properties
- M_tot (μB/f.u.) = 0.0
- mass density (g/cm³) = 5.0
- raw total energy (eV per atom) = -6.463
- formation energy from raw total energies (eV per atom) = -1.1978

The structure in POSCAR format:
```
LiCoNiO4
1.0
5.630 0.000 0.000
-2.815 4.841 -0.095
0.000 -3.201 4.651
Li Co Ni O
2 2 2 8
direct
0.500 0.000 0.000 Li
0.500 0.000 0.500 Li
0.000 0.500 0.000 Co
0.500 0.500 0.000 Co
0.000 0.000 0.500 Ni
0.000 0.000 0.000 Ni
0.212 0.973 0.237 O
0.239 0.478 0.771 O
0.239 0.027 0.763 O
0.239 0.478 0.207 O
0.761 0.522 0.793 O
0.761 0.973 0.237 O
0.761 0.522 0.229 O
0.788 0.027 0.763 O
```

---

# 18
VASP calculation (GGA-PBEsol) on GeTe2CN after structural relaxation.

Properties
- M_tot (μB/f.u.) = 0.5
- mass density (g/cm³) = 5.8
- raw total energy (eV per atom) = -4.167
- formation energy from raw total energies (eV per atom) = 1.8653

The structure in POSCAR format:
```
GeTe2CN
1.0
0.000 -0.817 -3.347
1.190 -5.160 1.260
-5.311 -1.156 0.283
Ge Te C N
1 2 1 1
direct
0.000 0.000 0.000 Ge
0.000 0.000 0.500 Te
0.000 0.500 0.000 Te
0.500 0.500 0.500 C
0.500 0.000 0.000 N
```

---

# 19
VASP calculation (GGA-PBEsol) on Ge2TeS after structural relaxation.

Properties
- M_tot (μB/f.u.) = 0.0
- mass density (g/cm³) = 6.2
- raw total energy (eV per atom) = -4.259
- formation energy from raw total energies (eV per atom) = 0.1880

The structure in POSCAR format:
```
Ge2TeS
1.0
4.868 0.000 0.000
2.434 4.216 0.000
2.434 1.405 3.974
Ge Te S
2 1 1
direct
0.250 0.250 0.250 Ge
0.750 0.750 0.750 Ge
0.500 0.500 0.500 Te
0.000 0.000 0.000 S
```

---

# 20
VASP calculation (GGA-PBEsol) on KSr2P after structural relaxation.

Properties
- M_tot (μB/f.u.) = 0.0
- mass density (g/cm³) = 3.0
- energy of formation from the pure elements (eV/atom) = 0.112
- raw total energy (eV per atom) = -2.540

The structure in POSCAR format:
```
KSr2P
1.0
5.781 0.000 0.000
2.891 5.007 0.000
2.891 1.669 4.721
K P Sr
1 1 2
direct
0.500 0.500 0.500 K
0.250 0.250 0.250 P
0.000 0.000 0.000 Sr
0.750 0.750 0.750 Sr
```